(1)
Cs2UAgBr6 | PBE | relaxed

Results
total energy: -3.91 eV per atom

abc: 8.0654 8.0654 6.8399
angles: 90.00 90.00 120.00
Last column: nearest neighbours and their distance in Å.
Space group P-3m1 (No. 164)
Symmetry-distinct sites (fractional):
Cs  0.3333  0.6667  0.2388  12 Br 4.03-4.16
U  0.0000  0.0000  0.5000  6 Br 2.90
Ag  0.0000  0.0000  0.0000  6 Br 2.93
Br  0.1692  0.3384  0.7457  1 U 2.90, 1 Ag 2.93

(2)
Sr2PaSnPd6 | PBE | relaxed

Results
total energy: -4.99 eV per atom
energy of formation from the pure elements: -184 meV per atom

abc: 10.2705 10.2705 10.2705
angles: 90.00 90.00 90.00
Last column: nearest neighbours and their distance in Å.
Space group Fm-3m (No. 225)
Symmetry-distinct sites (fractional):
Sr  0.2500  0.2500  0.2500  12 Pd 3.63
Pa  0.0000  0.0000  0.0000  6 Pd 2.54
Sn  0.0000  0.0000  0.5000  6 Pd 2.60
Pd  0.0000  0.0000  0.2470  1 Pa 2.54, 1 Sn 2.60

(3)
Y2Sc2Cd | PBE | relaxed

Results
total energy: -4.83 eV per atom
energy of formation from the pure elements: 470 meV per atom
energy relative to the lowest polymorph listed for this composition: 0.436 eV per atom

abc: 4.2919 4.2919 15.8119
angles: 90.00 90.00 90.00
Last column: nearest neighbours and their distance in Å.
Space group I4/mmm (No. 139)
Symmetry-distinct sites (fractional):
Y  0.0000  0.5000  0.2500  4 Y 3.03, 4 Sc 3.35
Sc  0.0000  0.0000  0.0873  1 Sc 2.76
Cd  0.0000  0.0000  0.5000  8 Sc 3.33

Which formula does entry 2 have?
Sr2PaSnPd6